# 1
Density functional theory data (PBE) for a relaxed Zn2CdTc crystal.

Output
Calculated total energy = -3.337 eV per atom

Unit cell a=4.125 b=4.125 c=3.672 alpha=90.00 beta=90.00 gamma=90.00
Fractional coordinates of all 4 atoms:
Zn1 0.000 0.500 0.000
Zn2 0.500 0.000 0.000
Cd1 0.000 0.000 0.500
Tc1 0.500 0.500 0.500

***

# 2
Density functional theory data (PBE) for a relaxed PmZnCd2Pd2 crystal.

Output
Calculated total energy = -3.201 eV per atom

Unit cell a=5.321 b=5.321 c=10.430 alpha=90.00 beta=90.00 gamma=90.00
Fractional coordinates of all 12 atoms:
Pm1 0.000 0.000 0.000
Pm2 0.500 0.500 0.500
Zn1 0.000 0.000 0.500
Zn2 0.500 0.500 0.000
Cd1 0.000 0.500 0.250
Cd2 0.000 0.500 0.750
Cd3 0.500 0.000 0.250
Cd4 0.500 0.000 0.750
Pd1 0.000 0.000 0.267
Pd2 0.000 0.000 0.733
Pd3 0.500 0.500 0.233
Pd4 0.500 0.500 0.767